DFT (PBE with a Hubbard U) results for crystalline CoAsPbO at its relaxed geometry.

Values from the calculation:
- E above lowest polymorph (meV per atom) = 364
- uncorrected energy (eV per atom) = -4.56

```
data_CoAsPbO
_chemical_formula_sum 'Co2 As2 Pb2 O2'
_cell_length_a 4.344
_cell_length_b 4.344
_cell_length_c 9.375
_cell_angle_alpha 90.00
_cell_angle_beta 90.00
_cell_angle_gamma 90.00
_space_group_name_H-M_alt 'P 4/n m m'
_space_group_IT_number 129
loop_
_space_group_symop_operation_xyz
'x,y,z'
'-x,-y,-z'
'-y+1/2,x,z'
'y+1/2,-x,-z'
'-x+1/2,-y+1/2,z'
'x+1/2,y+1/2,-z'
'y,-x+1/2,z'
'-y,x+1/2,-z'
'x+1/2,-y,-z'
'-x+1/2,y,z'
'-y,-x,-z'
'y,x,z'
'-x,y+1/2,-z'
'x,-y+1/2,z'
'y+1/2,x+1/2,-z'
'-y+1/2,-x+1/2,z'
loop_
_atom_site_label
_atom_site_fract_x
_atom_site_fract_y
_atom_site_fract_z
Co1 0.250 0.250 0.004
As1 0.250 0.250 0.297
Pb1 0.250 0.750 0.500
O1 0.250 0.750 0.000
```